Entry 1:
BaMn2AgSe4, relaxed, DFT PBE; energy relative to the elements, uncorrected = -60.5 kJ per mole of atoms; space-group type = Cmcm, No. 63; uncorrected energy = -84.139 eV for the cell shown
1.0
2.080 -6.706 0.000
2.080 6.706 0.000
0.000 0.000 13.967
Ba Mn Ag Se
2 4 2 8
direct
0.133 0.867 0.750
0.867 0.133 0.250
0.374 0.626 0.562
0.374 0.626 0.938
0.626 0.374 0.062
0.626 0.374 0.438
0.152 0.848 0.250
0.848 0.152 0.750
0.000 0.000 0.000
0.000 0.000 0.500
0.258 0.742 0.094
0.258 0.742 0.406
0.456 0.544 0.750
0.544 0.456 0.250
0.742 0.258 0.594
0.742 0.258 0.906

---

Entry 2:
Mn3Ni3S8, relaxed, DFT PBE; energy relative to the elements, uncorrected = -51.6 kJ per mole of atoms; space-group type = R-3m, No. 166; uncorrected energy = -85.361 eV for the cell shown
1.0
3.348 1.933 5.617
-3.348 1.933 5.617
0.000 -3.866 5.617
Mn Ni S
3 3 8
direct
0.000 0.500 0.500
0.500 0.000 0.500
0.500 0.500 0.000
0.126 0.126 0.126
0.500 0.500 0.500
0.874 0.874 0.874
0.255 0.255 0.255
0.257 0.257 0.730
0.257 0.730 0.257
0.270 0.743 0.743
0.730 0.257 0.257
0.743 0.270 0.743
0.743 0.743 0.270
0.745 0.745 0.745

---

Entry 3:
CoTeAs2, relaxed, DFT PBE; energy relative to the elements, uncorrected = 20.6 kJ per mole of atoms; space-group type = Immm, No. 71; uncorrected energy = -37.383 eV for the cell shown
1.0
2.988 0.000 0.000
0.000 4.820 0.000
0.000 0.000 10.769
Co Te As
2 2 4
direct
0.000 0.000 0.000
0.500 0.500 0.500
0.000 0.000 0.500
0.500 0.500 0.000
0.000 0.500 0.320
0.000 0.500 0.680
0.500 0.000 0.180
0.500 0.000 0.820

---

Entry 4:
KIr2Au, relaxed, DFT PBE; space-group type = Fm-3m, No. 225; DFT formation energy = 5.273 eV per formula unit; uncorrected energy = -67.296 eV for the cell shown
1.0
6.641 0.000 0.000
0.000 6.641 0.000
0.000 0.000 6.641
K Ir Au
4 8 4
direct
0.000 0.000 0.000
0.000 0.500 0.500
0.500 0.000 0.500
0.500 0.500 0.000
0.250 0.250 0.250
0.250 0.250 0.750
0.250 0.750 0.250
0.250 0.750 0.750
0.750 0.250 0.250
0.750 0.250 0.750
0.750 0.750 0.250
0.750 0.750 0.750
0.000 0.000 0.500
0.000 0.500 0.000
0.500 0.000 0.000
0.500 0.500 0.500